The following is a DFT calculation (PBE) of a relaxed structure of Al5Tl.

The structure in POSCAR format:
```
Al5Tl
1.0
0.0000 3.9037 3.9037
3.9037 0.0000 3.9037
3.9037 3.9037 0.0000
Al Tl
5 1
direct
0.0000 0.0000 0.0000
0.1235 0.6255 0.6255
0.6255 0.1235 0.6255
0.6255 0.6255 0.1235
0.6255 0.6255 0.6255
0.2500 0.2500 0.2500
```

## Properties
calculated formation energy	0.23	eV per atom
energy above the most stable polymorph in this dataset	69	meV per atom